--- i ---
# YErCoCu (PBE-GGA, optimized geometry)
# M_tot (μB per formula unit): 0.35
data_YErCoCu
_cell_length_a 6.7836
_cell_length_b 6.7836
_cell_length_c 6.7836
_cell_angle_alpha 90.00
_cell_angle_beta 90.00
_cell_angle_gamma 90.00
_symmetry_space_group_name_H-M 'F -4 3 m'
_symmetry_Int_Tables_number 216
_symmetry_space_group_name_Hall 'F -4 2 3'
loop_
_atom_site_label
_atom_site_type_symbol
_atom_site_fract_x
_atom_site_fract_y
_atom_site_fract_z
_atom_site_occupancy
Y1 Y 0.0000 0.0000 0.0000 1
Er1 Er 0.0000 0.0000 0.5000 1
Co1 Co 0.2500 0.2500 0.7500 1
Cu1 Cu 0.2500 0.2500 0.2500 1

=====

--- ii ---
# YErCoCu (PBE-GGA, optimized geometry)
# M_tot (μB per formula unit): 0.00
data_YErCoCu
_cell_length_a 4.0650
_cell_length_b 3.8792
_cell_length_c 10.3619
_cell_angle_alpha 90.00
_cell_angle_beta 90.00
_cell_angle_gamma 90.00
_symmetry_space_group_name_H-M 'A m m 2'
_symmetry_Int_Tables_number 38
loop_
_symmetry_equiv_pos_as_xyz
'x,y,z'
'-x,-y,z'
'-x,y,z'
'x,-y,z'
'x,y+1/2,z+1/2'
'-x,-y+1/2,z+1/2'
'-x,y+1/2,z+1/2'
'x,-y+1/2,z+1/2'
loop_
_atom_site_label
_atom_site_type_symbol
_atom_site_fract_x
_atom_site_fract_y
_atom_site_fract_z
_atom_site_occupancy
Y1 Y 0.0000 0.0000 0.0000 1
Er1 Er 0.5000 0.0000 0.2826 1
Co1 Co 0.0000 0.0000 0.7168 1
Cu1 Cu 0.5000 0.0000 0.5781 1

=====

List of relative energies, unit meV per atom: i 26; ii 0